Li7Mn2Co3O12 after structural relaxation, computed with PBE+U.

Properties
As for the total energy: -5.871 eV/atom. The crystal system is monoclinic.

abc: 8.6765 5.0517 5.0846
angles: 70.58 90.00 90.00
Last column: nearest neighbours and their distance in Å.
Sites, in units of the cell vectors:
Li 0.0130 0.5000 0.5000  6 O 2.09-2.23
Li 0.1740 0.0000 0.5000  6 O 2.05-2.18
Li 0.3225 0.5000 0.5000  6 O 2.11-2.24
Li 0.4919 0.0000 0.5000  6 O 2.02-2.19
Li 0.8361 0.0000 0.5000  6 O 2.05-2.15
Li 0.6637 0.5000 0.5000  6 O 2.12-2.20
Li 0.1694 0.5000 0.0000  6 O 2.04-2.10
Mn 0.0079 0.0000 0.0000  6 O 1.89-2.03
Mn 0.6646 0.0000 0.0000  6 O 1.93-1.97
Co 0.3318 0.0000 0.0000  6 O 1.95-1.99
Co 0.4836 0.5000 0.0000  6 O 1.90-2.10
Co 0.8424 0.5000 0.0000  6 O 1.93-2.06
O 0.9939 0.2431 0.2239  1 Co 1.93, 1 Mn 1.94, 2 Li 2.05-2.08
O 0.1656 0.7794 0.2266  1 Mn 1.89, 1 Co 1.95, 4 Li 2.05-2.11
O 0.3382 0.2443 0.2277  2 Co 1.90-1.95, 3 Li 2.02-2.08
O 0.5028 0.7712 0.2249  1 Mn 1.93, 2 Co 1.99-2.06, 2 Li 2.09-2.12
O 0.8319 0.7695 0.2267  2 Mn 1.97-2.03, 1 Co 2.06, 2 Li 2.09-2.16
O 0.6672 0.2512 0.2167  1 Mn 1.94, 2 Co 2.05-2.10, 1 Li 2.15
O 0.9939 0.7569 0.7761  1 Co 1.93, 1 Mn 1.94, 2 Li 2.05-2.08
O 0.1656 0.2206 0.7734  1 Mn 1.89, 1 Co 1.95, 4 Li 2.05-2.11
O 0.3382 0.7557 0.7723  2 Co 1.90-1.95, 3 Li 2.02-2.08
O 0.5028 0.2288 0.7751  1 Mn 1.93, 2 Co 1.99-2.06, 2 Li 2.09-2.12
O 0.8319 0.2305 0.7733  2 Mn 1.97-2.03, 1 Co 2.06, 2 Li 2.09-2.16
O 0.6672 0.7488 0.7833  1 Mn 1.94, 2 Co 2.05-2.10, 1 Li 2.15